[1]
VASP calculation (PBE) on a relaxed structure of Er3TePtCl.

Properties
SG: P2_1/m
Crystal system: monoclinic
Formation energy without anion corrections (meV/atom): -1270.4

a b c (Å): 4.0918 8.4802 9.6973
angles (deg): 95.96 90.00 90.00
With the nearest neighbours (Å) after each atom.
Fractional positions:
1 Er 0.7500 0.8074 0.1200  2 Pt 2.84, 1 Cl 2.85, 3 Te 3.14-3.17
2 Er 0.2500 0.1926 0.8800  2 Pt 2.84, 1 Cl 2.85, 3 Te 3.14-3.17
3 Er 0.2500 0.6448 0.4019  2 Cl 2.68, 1 Pt 2.81
4 Er 0.7500 0.3552 0.5981  2 Cl 2.68, 1 Pt 2.81
5 Er 0.7500 0.3686 0.1811  3 Pt 2.81-2.93, 2 Te 3.12
6 Er 0.2500 0.6314 0.8189  3 Pt 2.81-2.93, 2 Te 3.12
7 Te 0.2500 0.0916 0.1824  5 Er 3.12-3.17
8 Te 0.7500 0.9084 0.8176  5 Er 3.12-3.17
9 Pt 0.2500 0.5737 0.1119  6 Er 2.81-2.93, 2 Pt 3.15
10 Pt 0.7500 0.4263 0.8881  6 Er 2.81-2.93, 2 Pt 3.15
11 Cl 0.2500 0.1494 0.5846  3 Er 2.68-2.85
12 Cl 0.7500 0.8506 0.4154  3 Er 2.68-2.85

***

[2]
VASP calculation (PBE) on a relaxed structure of KGa2TcS.

Properties
SG: P4/mmm
Crystal system: tetragonal
Formation energy without anion corrections (meV/atom): 1892.6

a b c (Å): 5.5731 5.1149 5.5731
angles (deg): 90.00 90.00 90.00
With the nearest neighbours (Å) after each atom.
Fractional positions:
1 S 0.5000 0.5000 0.5000  8 Ga 3.78, 4 Tc 3.94
2 K 0.0000 0.0000 0.0000  2 Tc 2.56, 4 Ga 2.79
3 Tc 0.0000 0.5000 0.0000  2 K 2.56
4 Ga 0.0000 0.0000 0.5000  2 K 2.79
5 Ga 0.5000 0.0000 0.0000  2 K 2.79